(1)
First-principles (PBE) data for a relaxed structure of La2CdSn2Rh5, as listed in the Alexandria database.

crystal system: tetragonal
total DFT energy (no corrections): -6.0401 eV/atom
total moment: 0.000 μB per formula unit
space group: P4/mbm
formation energy from the elements: -0.49 eV/atom

Unit cell a=10.392 b=10.392 c=3.770 alpha=90.00 beta=90.00 gamma=90.00
Atoms (fractional coordinates):
La 0.173 0.327 0.000
La 0.327 0.827 0.000
La 0.673 0.173 0.000
La 0.827 0.673 0.000
Cd 0.000 0.000 0.000
Cd 0.500 0.500 0.000
Sn 0.125 0.625 0.000
Sn 0.375 0.125 0.000
Sn 0.625 0.875 0.000
Sn 0.875 0.375 0.000
Rh 0.000 0.500 0.500
Rh 0.062 0.795 0.500
Rh 0.205 0.062 0.500
Rh 0.295 0.562 0.500
Rh 0.438 0.295 0.500
Rh 0.500 0.000 0.500
Rh 0.562 0.705 0.500
Rh 0.705 0.438 0.500
Rh 0.795 0.938 0.500
Rh 0.938 0.205 0.500


(2)
First-principles (PBE) data for a relaxed structure of SbPbSe2, as listed in the Alexandria database.

crystal system: tetragonal
total DFT energy (no corrections): -3.7205 eV/atom
total moment: 0.000 μB per formula unit
space group: I-4m2

Unit cell a=7.340 b=7.340 c=7.340 alpha=147.32 beta=147.32 gamma=46.90
Atoms (fractional coordinates):
Sb 0.000 0.000 0.000
Pb 0.750 0.250 0.500
Se 0.250 0.750 0.500
Se 0.500 0.500 0.000


(3)
First-principles (PBE) data for a relaxed structure of ErCdSe2, as listed in the Alexandria database.

crystal system: trigonal
total DFT energy (no corrections): -4.1992 eV/atom
total moment: 0.000 μB per formula unit
space group: R-3m

Unit cell a=8.889 b=8.889 c=8.889 alpha=26.61 beta=26.61 gamma=26.61
Atoms (fractional coordinates):
Er 0.000 0.000 0.000
Cd 0.500 0.500 0.500
Se 0.394 0.394 0.394
Se 0.606 0.606 0.606


(4)
First-principles (PBE) data for a relaxed structure of Li2AcNdSn2, as listed in the Alexandria database.

crystal system: trigonal
total DFT energy (no corrections): -4.1044 eV/atom
total moment: 0.000 μB per formula unit
space group: P-3m1
formation energy from the elements: -0.65 eV/atom

Unit cell a=4.850 b=4.850 c=8.060 alpha=90.00 beta=90.00 gamma=120.00
Atoms (fractional coordinates):
Li 0.333 0.667 0.202
Li 0.667 0.333 0.798
Ac 0.000 0.000 0.500
Nd 0.000 0.000 0.000
Sn 0.333 0.667 0.770
Sn 0.667 0.333 0.230


(5)
First-principles (PBE) data for a relaxed structure of Er8TlHg2, as listed in the Alexandria database.

crystal system: monoclinic
total DFT energy (no corrections): -3.7046 eV/atom
total moment: 0.006 μB per formula unit
space group: C2/m
formation energy from the elements: -0.12 eV/atom

Unit cell a=8.400 b=8.400 c=5.454 alpha=100.41 beta=100.41 gamma=117.10
Atoms (fractional coordinates):
Er 0.095 0.330 0.612
Er 0.223 0.777 0.000
Er 0.330 0.095 0.612
Er 0.397 0.397 0.199
Er 0.603 0.603 0.801
Er 0.670 0.905 0.388
Er 0.777 0.223 0.000
Er 0.905 0.670 0.388
Tl 0.000 0.000 0.000
Hg 0.304 0.696 0.500
Hg 0.696 0.304 0.500


(6)
First-principles (PBE) data for a relaxed structure of CaTe2, as listed in the Alexandria database.

crystal system: monoclinic
total DFT energy (no corrections): -3.5458 eV/atom
total moment: 0.000 μB per formula unit
space group: C2/m

Unit cell a=6.458 b=6.458 c=8.718 alpha=107.40 beta=107.40 gamma=40.20
Atoms (fractional coordinates):
Ca 0.138 0.138 0.035
Ca 0.862 0.862 0.965
Te 0.232 0.232 0.728
Te 0.476 0.476 0.759
Te 0.524 0.524 0.241
Te 0.768 0.768 0.272